Record 1
Computed, not measured: a geometry-optimized CaZn2Ag9 structure at the GGA-PBE level of DFT.

Output
* density of states at the Fermi level: 0.3115 states/eV/atom
* volume: 922.8 Å³ per cell
* formation energy: -0.988 eV/f.u.
* total magnetic moment: 0.00 μB/f.u.

Cell and atoms, written as CIF:
```
data_CaZn2Ag9
_cell_length_a 11.298
_cell_length_b 11.298
_cell_length_c 7.230
_cell_angle_alpha 90.00
_cell_angle_beta 90.00
_cell_angle_gamma 90.00
_space_group_name_H-M_alt 'I 41/a m d'
_space_group_IT_number 141
loop_
_space_group_symop_operation_xyz
'x,y,z'
'-x,-y,-z'
'-y+1/4,x+3/4,z+1/4'
'y+1/4,-x+3/4,-z+1/4'
'-x+1/2,-y,z+1/2'
'x+1/2,y,-z+1/2'
'y+1/4,-x+1/4,z+3/4'
'-y+1/4,x+1/4,-z+3/4'
'x,-y,-z'
'-x,y,z'
'-y+1/4,-x+1/4,-z+3/4'
'y+1/4,x+1/4,z+3/4'
'-x+1/2,y,-z+1/2'
'x+1/2,-y,z+1/2'
'y+1/4,x+3/4,-z+1/4'
'-y+1/4,-x+3/4,z+1/4'
'x+1/2,y+1/2,z+1/2'
'-x+1/2,-y+1/2,-z+1/2'
'-y+3/4,x+1/4,z+3/4'
'y+3/4,-x+1/4,-z+3/4'
'-x,-y+1/2,z'
'x,y+1/2,-z'
'y+3/4,-x+3/4,z+1/4'
'-y+3/4,x+3/4,-z+1/4'
'x+1/2,-y+1/2,-z+1/2'
'-x+1/2,y+1/2,z+1/2'
'-y+3/4,-x+3/4,-z+1/4'
'y+3/4,x+3/4,z+1/4'
'-x,y+1/2,-z'
'x,-y+1/2,z'
'y+3/4,x+1/4,-z+3/4'
'-y+3/4,-x+1/4,z+3/4'
loop_
_atom_site_label
_atom_site_fract_x
_atom_site_fract_y
_atom_site_fract_z
Ca1 0.000 0.250 0.375
Zn1 0.000 0.000 0.000
Ag1 0.000 0.250 0.875
Ag2 0.122 0.049 0.681
```



Record 2
Computed, not measured: a geometry-optimized MgAsPt4 structure at the GGA-PBE level of DFT.

Output
* density of states at the Fermi level: 1.3290 states/eV/atom
* volume: 423.8 Å³ per cell
* formation energy: -0.906 eV/f.u.
* total magnetic moment: 0.00 μB/f.u.

Cell and atoms, written as CIF:
```
data_MgAsPt4
_cell_length_a 7.511
_cell_length_b 7.511
_cell_length_c 7.511
_cell_angle_alpha 90.00
_cell_angle_beta 90.00
_cell_angle_gamma 90.00
_space_group_name_H-M_alt 'F -4 3 m'
_space_group_IT_number 216
_space_group_name_Hall 'F -4 2 3'
loop_
_atom_site_label
_atom_site_fract_x
_atom_site_fract_y
_atom_site_fract_z
Mg1 0.000 0.000 0.000
As1 0.250 0.250 0.250
Pt1 0.125 0.125 0.625
```



Record 3
Computed, not measured: a geometry-optimized Nd6Y3In structure at the GGA-PBE level of DFT.

Output
* density of states at the Fermi level: 1.4152 states/eV/atom
* volume: 675.9 Å³ per cell
* formation energy: -0.021 eV/f.u.
* total magnetic moment: 0.00 μB/f.u.
* E above lowest polymorph: 12 meV/atom

Cell and atoms, written as CIF:
```
data_Nd6Y3In
_cell_length_a 12.507
_cell_length_b 3.625
_cell_length_c 14.942
_cell_angle_alpha 90.00
_cell_angle_beta 93.91
_cell_angle_gamma 90.00
_space_group_name_H-M_alt 'P 1 21/m 1'
_space_group_IT_number 11
loop_
_space_group_symop_operation_xyz
'x,y,z'
'-x,-y,-z'
'-x,y+1/2,-z'
'x,-y+1/2,z'
loop_
_atom_site_label
_atom_site_fract_x
_atom_site_fract_y
_atom_site_fract_z
Nd1 0.060 0.250 0.395
Nd2 0.120 0.750 0.955
Nd3 0.199 0.250 0.750
Nd4 0.293 0.750 0.315
Nd5 0.311 0.250 0.109
Nd6 0.389 0.250 0.496
Y1 0.073 0.750 0.183
Y2 0.399 0.750 0.919
Y3 0.446 0.750 0.697
In1 0.194 0.750 0.558
```



Record 4
Computed, not measured: a geometry-optimized In2MoRh structure at the GGA-PBE level of DFT.

Output
* density of states at the Fermi level: 0.9726 states/eV/atom
* volume: 144.2 Å³ per cell
* formation energy: 0.906 eV/f.u.
* total magnetic moment: 1.02 μB/f.u.
* E above lowest polymorph: 180 meV/atom

Cell and atoms, written as CIF:
```
data_In2MoRh
_cell_length_a 4.050
_cell_length_b 4.050
_cell_length_c 8.794
_cell_angle_alpha 90.00
_cell_angle_beta 90.00
_cell_angle_gamma 90.00
_space_group_name_H-M_alt 'I -4 m 2'
_space_group_IT_number 119
_space_group_name_Hall 'I -4 -2'
loop_
_atom_site_label
_atom_site_fract_x
_atom_site_fract_y
_atom_site_fract_z
In1 0.000 0.000 0.000
In2 0.000 0.500 0.250
Mo1 0.000 0.500 0.750
Rh1 0.000 0.000 0.500
```



Record 5
Computed, not measured: a geometry-optimized Ta2IrPt structure at the GGA-PBE level of DFT.

Output
* density of states at the Fermi level: 1.2444 states/eV/atom
* volume: 131.8 Å³ per cell
* formation energy: -1.162 eV/f.u.
* total magnetic moment: 0.00 μB/f.u.

Cell and atoms, written as CIF:
```
data_Ta2IrPt
_cell_length_a 9.436
_cell_length_b 2.880
_cell_length_c 4.924
_cell_angle_alpha 90.00
_cell_angle_beta 100.09
_cell_angle_gamma 90.00
_space_group_name_H-M_alt 'C 1 2/m 1'
_space_group_IT_number 12
loop_
_space_group_symop_operation_xyz
'x,y,z'
'-x,-y,-z'
'-x,y,-z'
'x,-y,z'
'x+1/2,y+1/2,z'
'-x+1/2,-y+1/2,-z'
'-x+1/2,y+1/2,-z'
'x+1/2,-y+1/2,z'
loop_
_atom_site_label
_atom_site_fract_x
_atom_site_fract_y
_atom_site_fract_z
Ta1 0.250 0.000 0.248
Ir1 0.000 0.500 0.000
Pt1 0.000 0.000 0.500
```



Record 6
Computed, not measured: a geometry-optimized AcZnPt3Au structure at the GGA-PBE level of DFT.

Output
* density of states at the Fermi level: 0.2432 states/eV/atom
* volume: 518.2 Å³ per cell
* formation energy: -2.799 eV/f.u.
* total magnetic moment: 0.00 μB/f.u.

Cell and atoms, written as CIF:
```
data_AcZnPt3Au
_cell_length_a 7.052
_cell_length_b 12.516
_cell_length_c 5.872
_cell_angle_alpha 90.00
_cell_angle_beta 90.00
_cell_angle_gamma 90.00
_space_group_name_H-M_alt 'C m c m'
_space_group_IT_number 63
_space_group_name_Hall '-C 2c 2'
loop_
_atom_site_label
_atom_site_fract_x
_atom_site_fract_y
_atom_site_fract_z
Ac1 0.000 0.208 0.250
Zn1 0.000 0.130 0.750
Pt1 0.000 0.325 0.750
Pt2 0.192 0.000 0.000
Au1 0.000 0.452 0.250
```



Record 7
Computed, not measured: a geometry-optimized Ce8Cd2Os3 structure at the GGA-PBE level of DFT.

Output
* density of states at the Fermi level: 2.5430 states/eV/atom
* volume: 717.6 Å³ per cell
* formation energy: 0.204 eV/f.u.
* total magnetic moment: 4.53 μB/f.u.

Cell and atoms, written as CIF:
```
data_Ce8Cd2Os3
_cell_length_a 14.162
_cell_length_b 6.736
_cell_length_c 8.080
_cell_angle_alpha 90.00
_cell_angle_beta 111.42
_cell_angle_gamma 90.00
_space_group_name_H-M_alt 'C 1 2/m 1'
_space_group_IT_number 12
loop_
_space_group_symop_operation_xyz
'x,y,z'
'-x,-y,-z'
'-x,y,-z'
'x,-y,z'
'x+1/2,y+1/2,z'
'-x+1/2,-y+1/2,-z'
'-x+1/2,y+1/2,-z'
'x+1/2,-y+1/2,z'
loop_
_atom_site_label
_atom_site_fract_x
_atom_site_fract_y
_atom_site_fract_z
Ce1 0.103 0.221 0.381
Ce2 0.125 0.000 0.010
Ce3 0.138 0.500 0.837
Cd1 0.249 0.000 0.747
Os1 0.000 0.302 0.000
Os2 0.000 0.500 0.500
```



Record 8
Computed, not measured: a geometry-optimized Mn2NiH2 structure at the GGA-PBE level of DFT.

Output
* density of states at the Fermi level: 0.3427 states/eV/atom
* volume: 76.2 Å³ per cell
* total magnetic moment: 1.87 μB/f.u.
* E above lowest polymorph: 0 meV/atom

Cell and atoms, written as CIF:
```
data_Mn2NiH2
_cell_length_a 3.157
_cell_length_b 3.157
_cell_length_c 7.649
_cell_angle_alpha 90.00
_cell_angle_beta 90.00
_cell_angle_gamma 90.00
_space_group_name_H-M_alt 'I 4/m m m'
_space_group_IT_number 139
_space_group_name_Hall '-I 4 2'
loop_
_atom_site_label
_atom_site_fract_x
_atom_site_fract_y
_atom_site_fract_z
Mn1 0.000 0.000 0.154
Ni1 0.000 0.000 0.500
H1 0.000 0.500 0.250
```



Question: Among the records above, which one has the lowest volume?
Answer: Mn2NiH2